# 1
The following is a DFT calculation (meta-GGA SCAN) of CoHF2 at its PBEsol-relaxed geometry.

* calculated total energy: -7.67 eV per atom

a = 4.258 Å, b = 4.258 Å, c = 7.154 Å
α = 90.00°, β = 90.00°, γ = 90.00°
Space group I-42d (No. 122)
Unique sites:
Co1 0.000 0.000 0.000 x4
H1 0.000 0.000 0.500 x4
F1 0.136 0.750 0.625 x8


# 2
The following is a DFT calculation (meta-GGA SCAN) of CuAgP at its PBEsol-relaxed geometry.

* calculated total energy: -18.57 eV per atom

a = 5.808 Å, b = 5.808 Å, c = 5.808 Å
α = 90.00°, β = 90.00°, γ = 90.00°
Space group F-43m (No. 216)
Unique sites:
Cu1 0.000 0.000 0.000 x4
Ag1 0.250 0.250 0.250 x4
P1 0.000 0.000 0.500 x4


# 3
The following is a DFT calculation (meta-GGA SCAN) of ZrZn2Ag at its PBEsol-relaxed geometry.

* calculated total energy: -22.47 eV per atom

a = 3.064 Å, b = 3.064 Å, c = 6.984 Å
α = 90.00°, β = 90.00°, γ = 90.00°
Space group P4/mmm (No. 123)
Unique sites:
Zr1 0.000 0.000 0.000 x1
Zn1 0.500 0.500 0.271 x2
Ag1 0.000 0.000 0.500 x1


# 4
The following is a DFT calculation (meta-GGA SCAN) of KCu2Br at its PBEsol-relaxed geometry.

* E_form (uncorrected): -0.135 eV/atom

a = 3.472 Å, b = 3.472 Å, c = 7.201 Å
α = 90.00°, β = 90.00°, γ = 90.00°
Space group P4mm (No. 99)
Unique sites:
K1 0.000 0.000 0.000 x1
Cu1 0.000 0.000 0.575 x1
Cu2 0.500 0.500 0.613 x1
Br1 0.500 0.500 0.265 x1


Please write out number 4 again, unchanged.
The following is a DFT calculation (meta-GGA SCAN) of KCu2Br at its PBEsol-relaxed geometry.

* E_form (uncorrected): -0.135 eV/atom

a = 3.472 Å, b = 3.472 Å, c = 7.201 Å
α = 90.00°, β = 90.00°, γ = 90.00°
Space group P4mm (No. 99)
Unique sites:
K1 0.000 0.000 0.000 x1
Cu1 0.000 0.000 0.575 x1
Cu2 0.500 0.500 0.613 x1
Br1 0.500 0.500 0.265 x1